Entry from Alexandria via LeMat-Bulk: a geometry-optimized MnGaSe structure (PBE). Values from VASP.

Values from the calculation:
final energy = -0.390 Ry/atom
excess energy over the best structure of this formula in the dataset = 2.53 kJ/mol of atoms
raw formation energy = -0.0830 eV per atom

Cell and atoms, written as Quantum ESPRESSO input:
```
&SYSTEM
  ibrav = 0, nat = 3, ntyp = 3
/
ATOMIC_SPECIES
Mn 54.94 Mn.upf
Ga 69.72 Ga.upf
Se 78.96 Se.upf
CELL_PARAMETERS angstrom
3.239 0.000 0.000
-1.619 2.805 0.000
0.000 0.000 5.606
ATOMIC_POSITIONS angstrom
Mn 0.000 0.000 0.000
Ga 0.000 1.870 1.655
Se 0.000 1.870 4.222
```

=====

Entry from Alexandria via LeMat-Bulk: a geometry-optimized Cs3Ac2NpO6 structure (PBE). Values from VASP.

Values from the calculation:
final energy = -0.502 Ry/atom
raw formation energy = -2.3678 eV per atom

Cell and atoms, written as Quantum ESPRESSO input:
```
&SYSTEM
  ibrav = 0, nat = 12, ntyp = 4
/
ATOMIC_SPECIES
Cs 132.91 Cs.upf
Ac 227.00 Ac.upf
Np 237.00 Np.upf
O 16.00 O.upf
CELL_PARAMETERS angstrom
3.313 -5.737 0.000
3.313 5.737 0.000
-2.201 0.000 6.995
ATOMIC_POSITIONS angstrom
Cs 0.000 0.000 0.000
Cs 3.313 1.891 0.000
Cs 3.313 -1.891 0.000
Ac 2.213 3.825 3.498
Ac 2.213 -3.825 3.498
Np 2.213 0.000 3.498
O 1.197 1.757 2.366
O 0.178 0.000 4.639
O 1.197 -1.757 2.366
O 3.229 1.757 4.629
O 4.247 0.000 2.356
O 3.229 -1.757 4.629
```

=====

Entry from Alexandria via LeMat-Bulk: a geometry-optimized TmSc2Tl structure (PBE). Values from VASP.

Values from the calculation:
final energy = -0.371 Ry/atom
formation enthalpy at 0 K = -0.7 eV per formula unit
excess energy over the best structure of this formula in the dataset = 0.00 kJ/mol of atoms

Cell and atoms, written as Quantum ESPRESSO input:
```
&SYSTEM
  ibrav = 0, nat = 4, ntyp = 3
/
ATOMIC_SPECIES
Tm 168.93 Tm.upf
Sc 44.96 Sc.upf
Tl 204.38 Tl.upf
CELL_PARAMETERS angstrom
4.616 0.000 0.000
0.000 4.616 0.000
0.000 0.000 4.628
ATOMIC_POSITIONS angstrom
Tm 0.000 0.000 0.000
Sc 0.000 2.308 2.314
Sc 2.308 0.000 2.314
Tl 2.308 2.308 0.000
```

=====

| no. | magnetization (μB per atom) |
| --- | --- |
| 1 | 0.000 |
| 2 | 0.316 |
| 3 | 0.383 |